# Tb3Al2Cu9

A relaxed structure of Tb3Al2Cu9 (GGA-PBE, Alexandria via LeMat-Bulk).

The value obtained for the total magnetization is 0.000 μB/atom. As for the space-group type: Immm (71).

Cell lengths 4.2153, 7.9248, 7.9248 Å; angles 65.99, 74.58, 74.58 degrees
Fractional positions:
1 Tb 0.0000 0.0000 0.0000
2 Tb 0.7123 0.2877 0.2877
3 Tb 0.2877 0.7123 0.7123
4 Al 0.5000 0.3185 0.6815
5 Al 0.5000 0.6815 0.3185
6 Cu 0.0000 0.5000 0.5000
7 Cu 0.6606 0.9846 0.6942
8 Cu 0.3394 0.0154 0.3058
9 Cu 0.6606 0.6942 0.9846
10 Cu 0.3394 0.3058 0.0154
11 Cu 0.8683 0.8434 0.4200
12 Cu 0.1317 0.1566 0.5800
13 Cu 0.8683 0.4200 0.8434
14 Cu 0.1317 0.5800 0.1566

# Tb2Al3Cu5

A relaxed structure of Tb2Al3Cu5 (GGA-PBE, Alexandria via LeMat-Bulk).

The value obtained for the total magnetization is 0.000 μB/atom. As for the space-group type: P-4m2 (115).

Cell lengths 4.0586, 4.0586, 10.5401 Å; angles 90.00, 90.00, 90.00 degrees
Fractional positions:
1 Tb 0.5000 0.0000 0.2345
2 Tb 0.0000 0.5000 0.7655
3 Al 0.5000 0.0000 0.6463
4 Al 0.0000 0.5000 0.3537
5 Al 0.0000 0.0000 0.5000
6 Cu 0.5000 0.5000 0.0000
7 Cu 0.0000 0.0000 0.0000
8 Cu 0.5000 0.0000 0.8706
9 Cu 0.0000 0.5000 0.1294
10 Cu 0.5000 0.5000 0.5000

# Tb4AlCu3

A relaxed structure of Tb4AlCu3 (GGA-PBE, Alexandria via LeMat-Bulk).

The value obtained for the total magnetization is 0.000 μB/atom. As for the space-group type: Pmmm (47).

Cell lengths 3.5158, 5.0078, 9.9321 Å; angles 90.00, 90.00, 90.00 degrees
Fractional positions:
1 Tb 0.0000 0.0000 0.5000
2 Tb 0.0000 0.5000 0.7425
3 Tb 0.0000 0.0000 0.0000
4 Tb 0.0000 0.5000 0.2575
5 Al 0.5000 0.5000 0.0000
6 Cu 0.5000 0.0000 0.2430
7 Cu 0.5000 0.5000 0.5000
8 Cu 0.5000 0.0000 0.7570

# Tb3AlCu2

A relaxed structure of Tb3AlCu2 (GGA-PBE, Alexandria via LeMat-Bulk).

The value obtained for the total magnetization is 0.000 μB/atom. As for the space-group type: P4/mmm (123).

Cell lengths 3.4831, 3.4831, 10.8917 Å; angles 90.00, 90.00, 90.00 degrees
Fractional positions:
1 Tb 0.0000 0.0000 0.0000
2 Tb 0.0000 0.0000 0.6776
3 Tb 0.0000 0.0000 0.3224
4 Al 0.5000 0.5000 0.5000
5 Cu 0.5000 0.5000 0.8373
6 Cu 0.5000 0.5000 0.1627

Calculated electronic total energy (eV per atom), listed in the same order as above: -4.44; -4.34; -4.58; -4.59
Calculated energy relative to the elements (eV per atom), listed in the same order as above: -0.28; -0.25; -0.26; -0.29